(1)
The following is a DFT calculation (PBE) of LiInO2F after structural relaxation.

Lattice parameters (Å, degrees): 4.1479 4.1479 4.3627 90.00 90.00 90.00
Closest atoms and distances in Å follow each position.
Fractional positions:
O 0.5000 0.0000 0.0000  2 In 2.07
O 0.0000 0.5000 0.0000  2 In 2.07
In 0.0000 0.0000 0.0000  4 O 2.07, 2 F 2.18
Li 0.5000 0.5000 0.5000  4 F 2.93, 8 O 3.01
F 0.0000 0.0000 0.5000  2 In 2.18

The density of states at the Fermi level is 1.48 states/eV/cell. As for the energy relative to the elements, uncorrected: -1.3406 eV/atom. The calculation puts the total energy at -4.63 eV per atom.

***

(2)
The following is a DFT calculation (PBE) of LiInOF2 after structural relaxation.

Lattice parameters (Å, degrees): 3.4948 3.4948 4.1136 90.00 90.00 90.00
Closest atoms and distances in Å follow each position.
Fractional positions:
F 0.5000 0.0000 0.0000  2 Li 1.75
F 0.0000 0.5000 0.0000  2 Li 1.75
Li 0.0000 0.0000 0.0000  4 F 1.75
O 0.0000 0.0000 0.5000  2 Li 2.06
In 0.5000 0.5000 0.5000  4 O 2.47, 8 F 2.70

The density of states at the Fermi level is 0.10 states/eV/cell. The excess energy over the best structure of this formula in the dataset comes out at 183.2 meV per atom. As for the energy relative to the elements, uncorrected: -1.7863 eV/atom. The calculation puts the total energy at -4.46 eV per atom.

***

(3)
The following is a DFT calculation (PBE) of LiInOF2 after structural relaxation.

Lattice parameters (Å, degrees): 4.3374 4.3374 4.0244 90.00 90.00 90.00
Closest atoms and distances in Å follow each position.
Fractional positions:
In 0.0000 0.0000 0.0000  2 O 2.01, 4 F 2.17
O 0.0000 0.0000 0.5000  2 In 2.01
Li 0.5000 0.5000 0.5000  8 F 2.96, 4 O 3.07
F 0.5000 0.0000 0.0000  2 In 2.17
F 0.0000 0.5000 0.0000  2 In 2.17

The density of states at the Fermi level is 0.00 states/eV/cell. The excess energy over the best structure of this formula in the dataset comes out at 0.0 meV per atom. As for the energy relative to the elements, uncorrected: -1.9694 eV/atom. The calculation puts the total energy at -4.64 eV per atom.

***

(4)
The following is a DFT calculation (PBE) of LiInO2F after structural relaxation.

Lattice parameters (Å, degrees): 3.5850 5.1407 3.5850 90.00 90.00 90.00
Closest atoms and distances in Å follow each position.
Fractional positions:
In 0.0000 0.5000 0.0000  4 F 2.53, 2 Li 2.57
O 0.5000 0.0000 0.0000  2 Li 1.79
O 0.0000 0.0000 0.5000  2 Li 1.79
Li 0.0000 0.0000 0.0000  4 O 1.79
F 0.5000 0.5000 0.5000  4 In 2.53

The density of states at the Fermi level is 3.46 states/eV/cell. As for the energy relative to the elements, uncorrected: -0.4904 eV/atom. The calculation puts the total energy at -3.78 eV per atom.

***

(5)
The following is a DFT calculation (PBE) of LiIn2PF after structural relaxation.

Lattice parameters (Å, degrees): 5.2826 3.6249 5.2826 90.00 90.00 90.00
Closest atoms and distances in Å follow each position.
Fractional positions:
Li 0.0000 0.5000 0.0000  2 F 1.81
F 0.0000 0.0000 0.0000  2 Li 1.81
In 0.5000 0.0000 0.0000  2 F 2.64
In 0.0000 0.0000 0.5000  2 F 2.64
P 0.5000 0.5000 0.5000  8 In 3.20

The density of states at the Fermi level is 1.93 states/eV/cell. As for the energy relative to the elements, uncorrected: -0.6686 eV/atom. The calculation puts the total energy at -3.60 eV per atom.

***

(6)
The following is a DFT calculation (PBE) of Li2InPbF after structural relaxation.

Lattice parameters (Å, degrees): 5.4630 4.4077 5.4630 90.00 90.00 90.00
Closest atoms and distances in Å follow each position.
Fractional positions:
F 0.0000 0.5000 0.0000  2 In 2.20
In 0.0000 0.0000 0.0000  2 F 2.20
Li 0.5000 0.0000 0.0000  2 In 2.73
Li 0.0000 0.0000 0.5000  2 In 2.73
Pb 0.5000 0.5000 0.5000  8 Li 3.51, 4 F 3.86

The density of states at the Fermi level is 2.95 states/eV/cell. As for the energy relative to the elements, uncorrected: -0.3628 eV/atom. The calculation puts the total energy at -2.79 eV per atom.

***

(7)
The following is a DFT calculation (PBE) of LiInPdF6 after structural relaxation.

Lattice parameters (Å, degrees): 4.9542 4.9542 9.8940 90.00 90.00 90.00
Closest atoms and distances in Å follow each position.
Fractional positions:
F 0.3121 0.3121 0.0008  1 Li 2.11, 1 In 2.11, 1 Pd 2.19
F 0.8023 0.1977 0.8258  1 Li 2.09, 1 In 2.12, 1 Pd 2.20
F 0.2004 0.7996 0.1731  1 Li 2.10, 1 In 2.12, 1 Pd 2.22
F 0.6879 0.6879 0.0008  1 Li 2.11, 1 In 2.11, 1 Pd 2.19
F 0.6977 0.6977 0.3258  1 Li 2.09, 1 In 2.12, 1 Pd 2.20
F 0.2996 0.2996 0.6731  1 Li 2.10, 1 In 2.12, 1 Pd 2.22
F 0.1879 0.8121 0.5008  1 Li 2.11, 1 In 2.11, 1 Pd 2.19
F 0.7996 0.2004 0.1731  1 Li 2.10, 1 In 2.12, 1 Pd 2.22
F 0.3023 0.3023 0.3258  1 Li 2.09, 1 In 2.12, 1 Pd 2.20
F 0.7004 0.7004 0.6731  1 Li 2.10, 1 In 2.12, 1 Pd 2.22
F 0.8121 0.1879 0.5008  1 Li 2.11, 1 In 2.11, 1 Pd 2.19
F 0.1977 0.8023 0.8258  1 Li 2.09, 1 In 2.12, 1 Pd 2.20
Li 0.0000 0.0000 0.6679  6 F 2.09-2.11
Li 0.5000 0.5000 0.1679  6 F 2.09-2.11
Pd 0.5000 0.5000 0.4992  6 F 2.19-2.22
Pd 0.0000 0.0000 0.9992  6 F 2.19-2.22
In 0.5000 0.5000 0.8335  6 F 2.11-2.12
In 0.0000 0.0000 0.3335  6 F 2.11-2.12

As for the energy relative to the elements, uncorrected: -2.1406 eV/atom. The calculation puts the total energy at -4.48 eV per atom.

***

(8)
The following is a DFT calculation (PBE) of LiPuInF6 after structural relaxation.

Lattice parameters (Å, degrees): 5.6703 5.6702 5.9976 90.02 89.98 59.97
Closest atoms and distances in Å follow each position.
Fractional positions:
Li 0.3334 0.3334 0.5000  6 F 2.12
F 0.3657 0.6280 0.3064  1 Li 2.12, 1 Pu 2.16
F 0.6281 0.0063 0.3064  1 Li 2.12, 1 Pu 2.16
F 0.0065 0.3654 0.3064  1 Li 2.12, 1 Pu 2.16
F 0.6279 0.3657 0.6936  1 Li 2.12, 1 Pu 2.16
F 0.3654 0.0065 0.6936  1 Li 2.12, 1 Pu 2.16
F 0.0062 0.6281 0.6935  1 Li 2.12, 1 Pu 2.16
Pu 0.6666 0.6667 0.5000  6 F 2.16
In 0.9999 0.9999 0.0000  6 F 2.78

As for the energy relative to the elements, uncorrected: -2.9480 eV/atom. The calculation puts the total energy at -6.30 eV per atom.

***

> Number 2 is which compound?

LiInOF2